# 1
NaPdS3: optimized geometry, GGA-PBE.

```
NaPdS3
1.0
4.790 0.000 0.000
0.000 4.790 0.000
0.000 0.000 4.790
Na S Pd
1 3 1
direct
0.500 0.500 0.500
0.000 0.500 0.000
0.000 0.000 0.500
0.500 0.000 0.000
0.000 0.000 0.000
```

Summary:
For the formation energy from raw total energies, the calculation gives 71.7 meV per atom. As for the distance to the lowest polymorph of the same formula: 0 meV/atom.


# 2
NaPd2S: optimized geometry, GGA-PBE.

```
NaPd2S
1.0
4.188 0.000 0.000
-2.093 4.805 0.000
0.000 0.000 7.000
Na Pd S
2 4 2
direct
0.943 0.886 0.250
0.057 0.114 0.750
0.341 0.681 0.555
0.659 0.319 0.445
0.341 0.681 0.945
0.659 0.319 0.055
0.776 0.551 0.750
0.224 0.449 0.250
```

Summary:
For the formation energy from raw total energies, the calculation gives -314.4 meV per atom.


# 3
Na3PdS: optimized geometry, GGA-PBE.

```
Na3PdS
1.0
5.223 0.000 0.000
0.000 5.223 0.000
0.000 0.000 5.223
Na S Pd
3 1 1
direct
0.000 0.500 0.000
0.000 0.000 0.500
0.500 0.000 0.000
0.000 0.000 0.000
0.500 0.500 0.500
```

Summary:
For the formation energy from raw total energies, the calculation gives -233.3 meV per atom. As for the distance to the lowest polymorph of the same formula: 0 meV/atom.


# 4
Na2Pd2S: optimized geometry, GGA-PBE.

```
Na2Pd2S
1.0
-0.695 2.878 2.104
-2.804 -1.765 1.488
2.542 -2.054 6.784
Na S Pd
2 1 2
direct
0.750 0.250 0.500
0.250 0.750 0.500
0.000 0.000 0.000
0.409 0.409 0.182
0.591 0.591 0.818
```

Summary:
For the formation energy from raw total energies, the calculation gives 371.3 meV per atom. As for the distance to the lowest polymorph of the same formula: 728 meV/atom.


# 5
Na2PdS6: optimized geometry, GGA-PBE.

```
Na2PdS6
1.0
7.382 0.000 0.078
0.000 7.035 0.000
-0.332 0.000 8.271
Na Pd S
4 2 12
direct
0.002 0.380 0.728
0.498 0.880 0.772
0.502 0.120 0.228
0.998 0.620 0.272
0.500 0.500 0.000
0.000 0.000 0.500
0.126 0.013 0.242
0.175 0.749 0.608
0.060 0.780 0.838
0.440 0.280 0.662
0.325 0.249 0.892
0.374 0.513 0.258
0.874 0.987 0.758
0.825 0.251 0.392
0.940 0.220 0.162
0.560 0.720 0.338
0.675 0.751 0.108
0.626 0.487 0.742
```

Summary:
For the formation energy from raw total energies, the calculation gives -379.2 meV per atom.


# 6
NaPdSeS2: optimized geometry, GGA-PBE.

```
NaPdSeS2
1.0
4.832 0.000 0.000
0.000 4.832 0.000
0.000 0.000 4.832
Na S Se Pd
1 2 1 1
direct
0.000 0.000 0.000
0.000 0.000 0.500
0.500 0.000 0.000
0.500 0.500 0.500
0.000 0.500 0.000
```

Summary:
For the formation energy from raw total energies, the calculation gives 1071.0 meV per atom.